1.
Tl6Te3I: optimized geometry, PBE.

## Properties
Raw formation energy, eV per atom: -0.26
Magnetic moment, μB per cell: 0.00
Relative energy among the computed polymorphs, eV/atom: 0.0000

a = 8.024 Å, b = 9.941 Å, c = 12.229 Å
α = 90.00°, β = 128.27°, γ = 90.00°
Positions (direct):
Tl  0.029  0.120  0.250
Tl  0.029  0.380  0.750
Tl  0.200  0.677  0.066
Tl  0.200  0.823  0.566
Tl  0.402  0.157  0.070
Tl  0.402  0.343  0.570
Tl  0.598  0.657  0.430
Tl  0.598  0.843  0.930
Tl  0.800  0.177  0.434
Tl  0.800  0.323  0.934
Tl  0.971  0.620  0.250
Tl  0.971  0.880  0.750
Te  0.000  0.000  0.000
Te  0.000  0.500  0.500
Te  0.272  0.110  0.745
Te  0.272  0.390  0.245
Te  0.728  0.610  0.755
Te  0.728  0.890  0.255
I  0.500  0.000  0.500
I  0.500  0.500  0.000

2.
CrSnTe2N: optimized geometry, PBE.

## Properties
Raw formation energy, eV per atom: 0.07
Magnetic moment, μB per cell: 1.37
Relative energy among the computed polymorphs, eV/atom: 0.0000

a = 5.568 Å, b = 5.568 Å, c = 3.591 Å
α = 90.00°, β = 90.00°, γ = 90.00°
Positions (direct):
Cr  0.000  0.000  0.000
Sn  0.500  0.500  0.500
Te  0.000  0.500  0.000
Te  0.500  0.000  0.000
N  0.000  0.000  0.500